1.
Computed, not measured: crystalline ZnSnHgCl4 at its relaxed geometry at the PBE level of DFT.

Cell lengths 13.124, 9.327, 8.425 Å; angles 90.00, 109.22, 90.00 degrees
Space group C2/m (No. 12)
Asymmetric unit:
Zn1 0.151 0.000 0.299 [4 per cell]
Sn1 0.228 0.000 0.913 [4 per cell]
Hg1 0.032 0.500 0.801 [4 per cell]
Cl1 0.026 0.000 0.711 [4 per cell]
Cl2 0.175 0.185 0.123 [8 per cell]
Cl3 0.231 0.500 0.443 [4 per cell]

Summary:
* energy relative to the elements, uncorrected: -868 meV per atom
* D(E_F): 0.00 states/eV/cell

***

2.
Computed, not measured: crystalline CsCeAgO3 at its relaxed geometry at the PBE level of DFT.

Cell lengths 7.433, 3.617, 10.375 Å; angles 90.00, 110.96, 90.00 degrees
Space group P2_1/m (No. 11)
Asymmetric unit:
Cs1 0.009 0.250 0.254 [2 per cell]
Ce1 0.447 0.750 0.636 [2 per cell]
Ag1 0.430 0.750 0.068 [2 per cell]
O1 0.278 0.250 0.652 [2 per cell]
O2 0.340 0.250 0.146 [2 per cell]
O3 0.372 0.750 0.404 [2 per cell]

Summary:
* energy relative to the elements, uncorrected: -1984 meV per atom
* D(E_F): 1.61 states/eV/cell

***

3.
Computed, not measured: crystalline SmGa6 at its relaxed geometry at the PBE level of DFT.

Cell lengths 6.025, 6.025, 7.631 Å; angles 90.00, 90.00, 90.00 degrees
Space group P4/nbm (No. 125, origin choice 2)
Asymmetric unit:
Sm1 0.250 0.750 0.000 [2 per cell]
Ga1 0.069 0.569 0.353 [8 per cell]
Ga2 0.250 0.250 0.163 [4 per cell]

Summary:
* energy relative to the lowest polymorph listed for this composition: 0.000 eV/f.u.
* D(E_F): 4.93 states/eV/cell
* ΔE_f: -0.3360 eV/atom

***

4.
Computed, not measured: crystalline LaDy2Ho6Tm3 at its relaxed geometry at the PBE level of DFT.

Cell lengths 6.129, 10.607, 11.727 Å; angles 90.00, 100.00, 90.00 degrees
Space group C2/m (No. 12)
Asymmetric unit:
La1 0.000 0.000 0.000 [2 per cell]
Dy1 0.000 0.333 0.000 [4 per cell]
Ho1 0.247 0.333 0.746 [8 per cell]
Ho2 0.249 0.000 0.746 [4 per cell]
Tm1 0.000 0.167 0.500 [4 per cell]
Tm2 0.000 0.500 0.500 [2 per cell]

Summary:
* D(E_F): 32.95 states/eV/cell
* ΔE_f: 0.0248 eV/atom

***

5.
Computed, not measured: crystalline Re3AuI at its relaxed geometry at the PBE level of DFT.

Cell lengths 4.795, 4.795, 4.795 Å; angles 90.00, 90.00, 90.00 degrees
Space group Pm-3m (No. 221)
Asymmetric unit:
Re1 0.000 0.000 0.500 [3 per cell]
Au1 0.500 0.500 0.500 [1 per cell]
I1 0.000 0.000 0.000 [1 per cell]

Summary:
* energy relative to the lowest polymorph listed for this composition: 0.000 eV/f.u.
* energy relative to the elements, uncorrected: 2883 meV per atom
* D(E_F): 7.68 states/eV/cell

***

6.
Computed, not measured: crystalline CaPdC at its relaxed geometry at the PBE level of DFT.

Cell lengths 7.200, 7.492, 4.050 Å; angles 90.00, 106.18, 90.00 degrees
Space group Cm (No. 8)
Asymmetric unit:
Ca1 0.000 0.247 0.000 [4 per cell]
Pd1 0.262 0.500 0.476 [2 per cell]
Pd2 0.333 0.000 0.376 [2 per cell]
C1 0.067 0.000 0.564 [2 per cell]
C2 0.226 0.000 0.826 [2 per cell]

Summary:
* energy relative to the lowest polymorph listed for this composition: 0.227 eV/f.u.
* D(E_F): 1.19 states/eV/cell
* ΔE_f: -0.2079 eV/atom

***

7.
Computed, not measured: crystalline NdErRh at its relaxed geometry at the PBE level of DFT.

Cell lengths 6.914, 6.054, 10.297 Å; angles 90.00, 128.33, 90.00 degrees
Space group P2_1/c (No. 14)
Asymmetric unit:
Nd1 0.183 0.131 0.386 [4 per cell]
Er1 0.339 0.616 0.632 [4 per cell]
Rh1 0.337 0.670 0.365 [4 per cell]

Summary:
* energy relative to the lowest polymorph listed for this composition: 0.097 eV/f.u.
* D(E_F): 11.26 states/eV/cell
* ΔE_f: -0.5052 eV/atom

***

8.
Computed, not measured: crystalline BaAl6Ni3 at its relaxed geometry at the PBE level of DFT.

Cell lengths 8.610, 6.274, 8.029 Å; angles 90.00, 114.31, 90.00 degrees
Space group P2_1/c (No. 14)
Asymmetric unit:
Ba1 0.000 0.000 0.000 [2 per cell]
Al1 0.236 0.054 0.712 [4 per cell]
Al2 0.315 0.699 0.901 [4 per cell]
Al3 0.452 0.114 0.257 [4 per cell]
Ni1 0.350 0.156 0.489 [4 per cell]
Ni2 0.500 0.000 0.000 [2 per cell]

Summary:
* D(E_F): 11.17 states/eV/cell
* ΔE_f: -0.2633 eV/atom

***

9.
Computed, not measured: crystalline GaPbN3 at its relaxed geometry at the PBE level of DFT.

Cell lengths 4.037, 4.037, 4.037 Å; angles 90.00, 90.00, 90.00 degrees
Space group Pm-3m (No. 221)
Asymmetric unit:
Ga1 0.000 0.000 0.000 [1 per cell]
Pb1 0.500 0.500 0.500 [1 per cell]
N1 0.000 0.000 0.500 [3 per cell]

Summary:
* energy relative to the elements, uncorrected: 1361 meV per atom
* D(E_F): 1.79 states/eV/cell

***

10.
Computed, not measured: crystalline AcCeTeI at its relaxed geometry at the PBE level of DFT.

Cell lengths 7.979, 7.979, 7.979 Å; angles 90.00, 90.00, 90.00 degrees
Space group F-43m (No. 216)
Asymmetric unit:
Ac1 0.000 0.000 0.000 [4 per cell]
Ce1 0.000 0.000 0.500 [4 per cell]
Te1 0.250 0.250 0.250 [4 per cell]
I1 0.250 0.250 0.750 [4 per cell]

Summary:
* energy relative to the elements, uncorrected: -1035 meV per atom
* D(E_F): 39.46 states/eV/cell

***

11.
Computed, not measured: crystalline ReP3Ir at its relaxed geometry at the PBE level of DFT.

Cell lengths 4.514, 4.514, 4.514 Å; angles 90.00, 90.00, 90.00 degrees
Space group Pm-3m (No. 221)
Asymmetric unit:
Re1 0.000 0.000 0.000 [1 per cell]
P1 0.000 0.500 0.500 [3 per cell]
Ir1 0.500 0.500 0.500 [1 per cell]

Summary:
* energy relative to the lowest polymorph listed for this composition: 1.684 eV/f.u.
* D(E_F): 4.74 states/eV/cell
* ΔE_f: 1.4265 eV/atom

***

12.
Computed, not measured: crystalline Dy4HoEr2Tm at its relaxed geometry at the PBE level of DFT.

Cell lengths 4.967, 4.967, 9.949 Å; angles 90.00, 90.00, 90.00 degrees
Space group P4/mmm (No. 123)
Asymmetric unit:
Dy1 0.000 0.500 0.249 [4 per cell]
Ho1 0.000 0.000 0.500 [1 per cell]
Er1 0.000 0.000 0.000 [1 per cell]
Er2 0.500 0.500 0.500 [1 per cell]
Tm1 0.500 0.500 0.000 [1 per cell]

Summary:
* D(E_F): 10.67 states/eV/cell
* ΔE_f: 0.0206 eV/atom

***

13.
Computed, not measured: crystalline CaSm2PtO5 at its relaxed geometry at the PBE level of DFT.

Cell lengths 6.639, 6.639, 5.868 Å; angles 90.00, 90.00, 90.00 degrees
Space group P4/mbm (No. 127)
Asymmetric unit:
Ca1 0.000 0.000 0.000 [2 per cell]
Sm1 0.173 0.327 0.500 [4 per cell]
Pt1 0.000 0.500 0.000 [2 per cell]
O1 0.000 0.000 0.500 [2 per cell]
O2 0.145 0.645 0.250 [8 per cell]

Summary:
* energy relative to the elements, uncorrected: -2537 meV per atom
* D(E_F): 0.00 states/eV/cell

***

14.
Computed, not measured: crystalline GdLuZrPa at its relaxed geometry at the PBE level of DFT.

Cell lengths 7.549, 7.549, 7.549 Å; angles 90.00, 90.00, 90.00 degrees
Space group F-43m (No. 216)
Asymmetric unit:
Gd1 0.000 0.000 0.000 [4 per cell]
Lu1 0.250 0.250 0.750 [4 per cell]
Zr1 0.000 0.000 0.500 [4 per cell]
Pa1 0.250 0.250 0.250 [4 per cell]

Summary:
* D(E_F): 43.67 states/eV/cell
* ΔE_f: 0.2940 eV/atom

***

15.
Computed, not measured: crystalline Li4MgPb7 at its relaxed geometry at the PBE level of DFT.

Cell lengths 14.042, 5.415, 10.314 Å; angles 90.00, 126.86, 90.00 degrees
Space group C2/m (No. 12)
Asymmetric unit:
Li1 0.057 0.000 0.273 [4 per cell]
Li2 0.192 0.000 0.838 [4 per cell]
Mg1 0.000 0.500 0.500 [2 per cell]
Pb1 0.000 0.000 0.500 [2 per cell]
Pb2 0.077 0.500 0.855 [4 per cell]
Pb3 0.164 0.000 0.110 [4 per cell]
Pb4 0.217 0.500 0.375 [4 per cell]

Summary:
* D(E_F): 11.23 states/eV/cell
* ΔE_f: -0.0789 eV/atom

***

16.
Computed, not measured: crystalline ScTcNi3 at its relaxed geometry at the PBE level of DFT.

Cell lengths 4.456, 4.456, 4.456 Å; angles 90.00, 90.00, 90.00 degrees
Space group Pm-3m (No. 221)
Asymmetric unit:
Sc1 0.000 0.000 0.000 [1 per cell]
Tc1 0.500 0.500 0.500 [1 per cell]
Ni1 0.000 0.500 0.500 [3 per cell]

Summary:
* energy relative to the lowest polymorph listed for this composition: 0.000 eV/f.u.
* D(E_F): 5.69 states/eV/cell
* ΔE_f: 0.6998 eV/atom

***

17.
Computed, not measured: crystalline U3Re at its relaxed geometry at the PBE level of DFT.

Cell lengths 6.719, 6.719, 6.719 Å; angles 90.00, 90.00, 90.00 degrees
Space group Fm-3m (No. 225)
Asymmetric unit:
U1 0.000 0.000 0.000 [4 per cell]
U2 0.250 0.250 0.250 [8 per cell]
Re1 0.000 0.000 0.500 [4 per cell]

Summary:
* energy relative to the lowest polymorph listed for this composition: 0.482 eV/f.u.
* D(E_F): 53.18 states/eV/cell
* ΔE_f: 0.1735 eV/atom

***

18.
Computed, not measured: crystalline Sr3Cd3Au at its relaxed geometry at the PBE level of DFT.

Cell lengths 12.116, 4.391, 17.446 Å; angles 90.00, 105.06, 90.00 degrees
Space group C2/m (No. 12)
Asymmetric unit:
Sr1 0.012 0.000 0.385 [4 per cell]
Sr2 0.115 0.000 0.923 [4 per cell]
Sr3 0.236 0.000 0.239 [4 per cell]
Cd1 0.017 0.500 0.230 [4 per cell]
Cd2 0.102 0.500 0.078 [4 per cell]
Cd3 0.165 0.500 0.535 [4 per cell]
Au1 0.213 0.500 0.373 [4 per cell]

Summary:
* D(E_F): 21.35 states/eV/cell
* ΔE_f: -0.4272 eV/atom

***

19.
Computed, not measured: crystalline TaAl2AgF at its relaxed geometry at the PBE level of DFT.

Cell lengths 4.699, 4.699, 5.335 Å; angles 90.00, 90.00, 90.00 degrees
Space group P4/mmm (No. 123)
Asymmetric unit:
Ta1 0.000 0.000 0.000 [1 per cell]
Al1 0.000 0.500 0.500 [2 per cell]
Ag1 0.000 0.000 0.500 [1 per cell]
F1 0.500 0.500 0.000 [1 per cell]

Summary:
* energy relative to the elements, uncorrected: 859 meV per atom
* D(E_F): 5.45 states/eV/cell

***

20.
Computed, not measured: crystalline SrCdGa2Pd2 at its relaxed geometry at the PBE level of DFT.

Cell lengths 4.4667, 4.4667, 7.3195 Å; angles 90.00, 90.00, 120.00 degrees
Space group P-3m1 (No. 164)
Asymmetric unit:
Sr1 0.0000 0.0000 0.0000 [1 per cell]
Cd1 0.0000 0.0000 0.5000 [1 per cell]
Ga1 0.3333 0.6667 0.7028 [2 per cell]
Pd1 0.3333 0.6667 0.3224 [2 per cell]

Summary:
* D(E_F): 2.32 states/eV/cell
* ΔE_f: -0.5836 eV/atom

***

21.
Computed, not measured: crystalline SrMnAl2 at its relaxed geometry at the PBE level of DFT.

Cell lengths 4.3948, 4.3948, 17.2446 Å; angles 90.00, 90.00, 120.00 degrees
Space group R-3m (No. 166, hexagonal axes)
Asymmetric unit:
Sr1 0.0000 0.0000 0.0000 [3 per cell]
Mn1 0.0000 0.0000 0.5000 [3 per cell]
Al1 0.0000 0.0000 0.1973 [6 per cell]

Summary:
* D(E_F): 12.49 states/eV/cell
* ΔE_f: -0.0433 eV/atom

***

22.
Computed, not measured: crystalline Cs2BaCd2S4 at its relaxed geometry at the PBE level of DFT.

Cell lengths 17.079, 4.421, 8.474 Å; angles 90.00, 110.48, 90.00 degrees
Space group C2/m (No. 12)
Asymmetric unit:
Cs1 0.125 0.000 0.046 [4 per cell]
Ba1 0.000 0.000 0.500 [2 per cell]
Cd1 0.172 0.500 0.472 [4 per cell]
S1 0.027 0.500 0.260 [4 per cell]
S2 0.207 0.000 0.659 [4 per cell]

Summary:
* energy relative to the elements, uncorrected: -1163 meV per atom
* D(E_F): 0.00 states/eV/cell

***

23.
Computed, not measured: crystalline BiRh2Au at its relaxed geometry at the PBE level of DFT.

Cell lengths 4.349, 4.349, 3.734 Å; angles 90.00, 90.00, 90.00 degrees
Space group P4/mmm (No. 123)
Asymmetric unit:
Bi1 0.000 0.000 0.000 [1 per cell]
Rh1 0.000 0.500 0.500 [2 per cell]
Au1 0.500 0.500 0.000 [1 per cell]

Summary:
* D(E_F): 2.82 states/eV/cell
* ΔE_f: 0.0514 eV/atom

***

24.
Computed, not measured: crystalline CuSi2P at its relaxed geometry at the PBE level of DFT.

Cell lengths 2.866, 2.866, 6.777 Å; angles 90.00, 90.00, 90.00 degrees
Space group P4mm (No. 99)
Asymmetric unit:
Cu1 0.000 0.000 0.000 [1 per cell]
Si1 0.000 0.000 0.491 [1 per cell]
Si2 0.500 0.500 0.760 [1 per cell]
P1 0.500 0.500 0.249 [1 per cell]

Summary:
* energy relative to the elements, uncorrected: 406 meV per atom
* D(E_F): 1.08 states/eV/cell